Ce2Dy6Y3Sc | PBE | relaxed

The calculation puts the calculated density at 7.0 g cm⁻³. The formation energy comes out at 0.0553 eV/atom. For the total magnetization, the calculation gives 3.74 Bohr magnetons per cell.

The space group is C2/m (No. 12) and the conventional cell measures 6.095, 10.557 and 11.681 Å, with angles of 90.00, 100.02 and 90.00 degrees. The distinct sites, in fractional coordinates, are Ce at (0.000, 0.166, 0.000), Dy at (0.248, 0.334, 0.246), Dy at (0.250, 0.000, 0.246), Y at (0.000, 0.000, 0.500), Y at (0.000, 0.334, 0.500) and Sc at (0.000, 0.500, 0.000).

---

CeDyYSc | PBE | relaxed

The calculation puts the calculated density at 6.0 g cm⁻³. The polymorph energy (0 for the lowest one) comes out at 0 meV per atom. The formation energy comes out at 0.1467 eV/atom. For the total magnetization, the calculation gives 2.75 Bohr magnetons per cell.

The space group is F-43m (No. 216) and the conventional cell measures 7.829, 7.829 and 7.829 Å, with angles of 90.00, 90.00 and 90.00 degrees. The distinct sites, in fractional coordinates, are Ce at (0.000, 0.000, 0.000), Dy at (0.000, 0.000, 0.500), Y at (0.250, 0.250, 0.250) and Sc at (0.250, 0.250, 0.750).

---

CeDyScZn | PBE | relaxed

The calculation puts the calculated density at 6.8 g cm⁻³. The formation energy comes out at 0.0125 eV/atom. For the total magnetization, the calculation gives 5.75 Bohr magnetons per cell.

The space group is F-43m (No. 216) and the conventional cell measures 7.382, 7.382 and 7.382 Å, with angles of 90.00, 90.00 and 90.00 degrees. The distinct sites, in fractional coordinates, are Ce at (0.000, 0.000, 0.000), Dy at (0.000, 0.000, 0.500), Sc at (0.250, 0.250, 0.250) and Zn at (0.250, 0.250, 0.750).